Density functional theory data (PBE-GGA) for a relaxed Ca3NpO6 crystal.

The structure in CIF format:
```
data_Ca3NpO6
_chemical_formula_sum 'Ca18 Np6 O36'
_cell_length_a 9.6701
_cell_length_b 9.6701
_cell_length_c 11.4426
_cell_angle_alpha 90.00
_cell_angle_beta 90.00
_cell_angle_gamma 120.00
_symmetry_space_group_name_H-M 'R -3'
_symmetry_Int_Tables_number 148
_symmetry_space_group_name_Hall '-R 3'
loop_
_atom_site_label
_atom_site_fract_x
_atom_site_fract_y
_atom_site_fract_z
Ca1 0.0391 0.2673 0.2101
Np1 0.0000 0.0000 0.0000
Np2 0.0000 0.0000 0.5000
O1 0.0264 0.1809 0.8880
O2 0.0305 0.1976 0.4051
```

Values from the calculation:
Its energy relative to the elements, uncorrected is -3.08 eV per atom.



Density functional theory data (PBE-GGA) for a relaxed SrCl3 crystal.

The structure in CIF format:
```
data_SrCl3
_chemical_formula_sum 'Sr2 Cl6'
_cell_length_a 6.436
_cell_length_b 6.458
_cell_length_c 5.432
_cell_angle_alpha 90.00
_cell_angle_beta 90.00
_cell_angle_gamma 90.00
_symmetry_space_group_name_H-M 'C m m m'
_symmetry_Int_Tables_number 65
_symmetry_space_group_name_Hall '-C 2 2'
loop_
_atom_site_label
_atom_site_fract_x
_atom_site_fract_y
_atom_site_fract_z
Sr1 0.000 0.000 0.000
Cl1 0.000 0.000 0.500
Cl2 0.000 0.500 0.243
```

Values from the calculation:
Its energy relative to the elements, uncorrected is -1.50 eV per atom.



Density functional theory data (PBE-GGA) for a relaxed LaH3Pt crystal.

The structure in CIF format:
```
data_LaH3Pt
_chemical_formula_sum 'La4 H12 Pt4'
_cell_length_a 7.991
_cell_length_b 4.629
_cell_length_c 7.458
_cell_angle_alpha 90.00
_cell_angle_beta 109.51
_cell_angle_gamma 90.00
_symmetry_space_group_name_H-M 'C 1 2 1'
_symmetry_Int_Tables_number 5
_symmetry_space_group_name_Hall 'C 2y'
loop_
_atom_site_label
_atom_site_fract_x
_atom_site_fract_y
_atom_site_fract_z
La1 0.000 0.000 0.000
La2 0.000 0.423 0.500
H1 0.023 0.908 0.666
H2 0.036 0.482 0.178
H3 0.198 0.286 0.851
Pt1 0.244 0.959 0.748
```

Values from the calculation:
For the total energy, the calculation gives -4.805 eV/atom.



Density functional theory data (PBE-GGA) for a relaxed CaPr6Co2 crystal.

The structure in CIF format:
```
data_CaPr6Co2
_chemical_formula_sum 'Ca4 Pr24 Co8'
_cell_length_a 9.813
_cell_length_b 10.331
_cell_length_c 10.770
_cell_angle_alpha 90.00
_cell_angle_beta 90.00
_cell_angle_gamma 90.00
_symmetry_space_group_name_H-M 'I m m m'
_symmetry_Int_Tables_number 71
_symmetry_space_group_name_Hall '-I 2 2'
loop_
_atom_site_label
_atom_site_fract_x
_atom_site_fract_y
_atom_site_fract_z
Ca1 0.000 0.000 0.000
Ca2 0.000 0.500 0.000
Pr1 0.000 0.236 0.216
Pr2 0.177 0.181 0.500
Pr3 0.209 0.500 0.318
Co1 0.000 0.000 0.288
Co2 0.000 0.387 0.500
```

Values from the calculation:
The formation energy is 0.02 eV per atom.



Density functional theory data (PBE-GGA) for a relaxed Pm8PrHo5 crystal.

The structure in CIF format:
```
data_Pm8PrHo5
_chemical_formula_sum 'Pm16 Pr2 Ho10'
_cell_length_a 9.617
_cell_length_b 9.617
_cell_length_c 10.381
_cell_angle_alpha 90.00
_cell_angle_beta 90.00
_cell_angle_gamma 90.00
_symmetry_space_group_name_H-M 'I -4'
_symmetry_Int_Tables_number 82
_symmetry_space_group_name_Hall 'I -4'
loop_
_atom_site_label
_atom_site_fract_x
_atom_site_fract_y
_atom_site_fract_z
Pm1 0.070 0.175 0.148
Pm2 0.088 0.323 0.498
Pr1 0.000 0.000 0.500
Ho1 0.000 0.500 0.250
Ho2 0.110 0.295 0.822
```

Values from the calculation:
The formation energy is 0.24 eV per atom.



Density functional theory data (PBE-GGA) for a relaxed Rb2BaPaS4 crystal.

The structure in CIF format:
```
data_Rb2BaPaS4
_chemical_formula_sum 'Rb2 Ba1 Pa1 S4'
_cell_length_a 7.725
_cell_length_b 4.323
_cell_length_c 8.095
_cell_angle_alpha 90.00
_cell_angle_beta 108.24
_cell_angle_gamma 90.00
_symmetry_space_group_name_H-M 'P 1 2/m 1'
_symmetry_Int_Tables_number 10
_symmetry_space_group_name_Hall '-P 2y'
loop_
_atom_site_label
_atom_site_fract_x
_atom_site_fract_y
_atom_site_fract_z
Rb1 0.000 0.000 0.000
Rb2 0.500 0.500 0.000
Ba1 0.000 0.500 0.500
Pa1 0.500 0.000 0.500
S1 0.277 0.000 0.701
S2 0.297 0.500 0.306
```

Values from the calculation:
Its energy relative to the elements, uncorrected is -1.61 eV per atom.



Density functional theory data (PBE-GGA) for a relaxed KLa2Cd crystal.

The structure in CIF format:
```
data_KLa2Cd
_chemical_formula_sum 'K2 La4 Cd2'
_cell_length_a 4.065
_cell_length_b 5.895
_cell_length_c 12.045
_cell_angle_alpha 90.00
_cell_angle_beta 90.00
_cell_angle_gamma 90.00
_symmetry_space_group_name_H-M 'I m m 2'
_symmetry_Int_Tables_number 44
_symmetry_space_group_name_Hall 'I 2 -2'
loop_
_atom_site_label
_atom_site_fract_x
_atom_site_fract_y
_atom_site_fract_z
K1 0.000 0.000 0.000
La1 0.000 0.000 0.552
La2 0.000 0.500 0.787
Cd1 0.000 0.500 0.270
```

Values from the calculation:
The formation energy is 0.19 eV per atom.



Density functional theory data (PBE-GGA) for a relaxed Tl4Sb crystal.

The structure in CIF format:
```
data_Tl4Sb
_chemical_formula_sum 'Tl4 Sb1'
_cell_length_a 6.021
_cell_length_b 6.021
_cell_length_c 6.021
_cell_angle_alpha 90.00
_cell_angle_beta 90.00
_cell_angle_gamma 90.00
_symmetry_space_group_name_H-M 'P m -3 m'
_symmetry_Int_Tables_number 221
_symmetry_space_group_name_Hall '-P 4 2 3'
loop_
_atom_site_label
_atom_site_fract_x
_atom_site_fract_y
_atom_site_fract_z
Tl1 0.000 0.000 0.000
Tl2 0.000 0.500 0.500
Sb1 0.500 0.500 0.500
```

Values from the calculation:
Its energy relative to the elements, uncorrected is 0.38 eV per atom.



Density functional theory data (PBE-GGA) for a relaxed CaLaPd3 crystal.

The structure in CIF format:
```
data_CaLaPd3
_chemical_formula_sum 'Ca1 La1 Pd3'
_cell_length_a 5.253
_cell_length_b 5.253
_cell_length_c 5.253
_cell_angle_alpha 90.00
_cell_angle_beta 90.00
_cell_angle_gamma 90.00
_symmetry_space_group_name_H-M 'P m -3 m'
_symmetry_Int_Tables_number 221
_symmetry_space_group_name_Hall '-P 4 2 3'
loop_
_atom_site_label
_atom_site_fract_x
_atom_site_fract_y
_atom_site_fract_z
Ca1 0.000 0.000 0.000
La1 0.500 0.500 0.500
Pd1 0.000 0.500 0.500
```

Values from the calculation:
The formation energy is 0.02 eV per atom.



Density functional theory data (PBE-GGA) for a relaxed SrNi2BRh crystal.

The structure in CIF format:
```
data_SrNi2BRh
_chemical_formula_sum 'Sr1 Ni2 B1 Rh1'
_cell_length_a 4.129
_cell_length_b 4.129
_cell_length_c 4.228
_cell_angle_alpha 90.00
_cell_angle_beta 90.00
_cell_angle_gamma 90.00
_symmetry_space_group_name_H-M 'P 4/m m m'
_symmetry_Int_Tables_number 123
_symmetry_space_group_name_Hall '-P 4 2'
loop_
_atom_site_label
_atom_site_fract_x
_atom_site_fract_y
_atom_site_fract_z
Sr1 0.000 0.000 0.000
Ni1 0.000 0.500 0.500
B1 0.500 0.500 0.500
Rh1 0.500 0.500 0.000
```

Values from the calculation:
The formation energy is -0.19 eV per atom.



Density functional theory data (PBE-GGA) for a relaxed Ti5TlIn2 crystal.

The structure in CIF format:
```
data_Ti5TlIn2
_chemical_formula_sum 'Ti10 Tl2 In4'
_cell_length_a 4.168
_cell_length_b 4.168
_cell_length_c 17.294
_cell_angle_alpha 90.00
_cell_angle_beta 90.00
_cell_angle_gamma 90.00
_symmetry_space_group_name_H-M 'I 4/m m m'
_symmetry_Int_Tables_number 139
_symmetry_space_group_name_Hall '-I 4 2'
loop_
_atom_site_label
_atom_site_fract_x
_atom_site_fract_y
_atom_site_fract_z
Ti1 0.000 0.000 0.000
Ti2 0.000 0.500 0.122
Tl1 0.000 0.000 0.500
In1 0.000 0.000 0.249
```

Values from the calculation:
The formation energy is -0.06 eV per atom.